# 1
Below is a geometry-optimized SrPmPt2 structure, with properties calculated at the PBE-GGA level.

Values from the calculation:
The formation energy is -0.977 eV/atom. The energy above the most stable polymorph in this dataset is 0 meV/atom.

abc: 3.6215 3.6215 7.3783
angles: 90.00 90.00 90.00
Last column: nearest neighbours and their distance in Å.
Space group P4/mmm (No. 123)
Inequivalent atoms, fractional coordinates:
Sr  0.0000  0.0000  0.0000 [1 per cell]  8 Pt 3.30, 4 Sr 3.62, 2 Pm 3.69
Pm  0.0000  0.0000  0.5000 [1 per cell]  8 Pt 3.03
Pt  0.5000  0.5000  0.2813 [2 per cell]  4 Pm 3.03, 1 Pt 3.23, 4 Sr 3.30

# 2
Below is a geometry-optimized SrPmPt2 structure, with properties calculated at the PBE-GGA level.

Values from the calculation:
The formation energy is -0.868 eV/atom. The energy above the most stable polymorph in this dataset is 109 meV/atom.

abc: 4.2278 4.2278 21.2705
angles: 90.00 90.00 120.00
Last column: nearest neighbours and their distance in Å.
Space group R-3m (No. 166, hexagonal axes)
Inequivalent atoms, fractional coordinates:
Sr  0.0000  0.0000  0.0000 [3 per cell]  6 Pt 3.12
Pm  0.0000  0.0000  0.5000 [3 per cell]  6 Pt 2.92
Pt  0.0000  0.0000  0.2422 [6 per cell]  3 Pm 2.92, 3 Sr 3.12

# 3
Below is a geometry-optimized SrPmPt structure, with properties calculated at the PBE-GGA level.

Values from the calculation:
The formation energy is -0.624 eV/atom. The energy above the most stable polymorph in this dataset is 123 meV/atom.

abc: 7.1920 7.1920 7.1920
angles: 90.00 90.00 90.00
Last column: nearest neighbours and their distance in Å.
Space group F-43m (No. 216)
Inequivalent atoms, fractional coordinates:
Sr  0.0000  0.0000  0.0000 [4 per cell]  4 Pt 3.11
Pm  0.0000  0.0000  0.5000 [4 per cell]  4 Pt 3.11
Pt  0.2500  0.2500  0.2500 [4 per cell]  4 Pm 3.11, 4 Sr 3.11

# 4
Below is a geometry-optimized SrPmPt structure, with properties calculated at the PBE-GGA level.

Values from the calculation:
The formation energy is -0.675 eV/atom. The energy above the most stable polymorph in this dataset is 72 meV/atom.

abc: 4.2732 4.2732 6.9055
angles: 90.00 90.00 120.00
Last column: nearest neighbours and their distance in Å.
Space group P3m1 (No. 156)
Inequivalent atoms, fractional coordinates:
Sr  0.0000  0.0000  0.0000 [1 per cell]  3 Pt 3.07
Pm  0.3333  0.6667  0.5346 [1 per cell]  3 Pt 2.83
Pt  0.6667  0.3333  0.7350 [1 per cell]  3 Pm 2.83, 3 Sr 3.07

# 5
Below is a geometry-optimized SrPm2Pt9 structure, with properties calculated at the PBE-GGA level.

Values from the calculation:
The formation energy is -0.858 eV/atom.

abc: 5.5065 5.5065 26.5909
angles: 90.00 90.00 120.00
Last column: nearest neighbours and their distance in Å.
Space group R-3m (No. 166, hexagonal axes)
Inequivalent atoms, fractional coordinates:
Sr  0.0000  0.0000  0.0000 [3 per cell]  6 Pt 3.18
Pm  0.0000  0.0000  0.1393 [6 per cell]  12 Pt 3.11-3.30
Pt  0.0000  0.0000  0.3323 [6 per cell]  6 Pt 2.73-2.80
Pt  0.0000  0.0000  0.5000 [3 per cell]  6 Pt 2.70
Pt  0.0042  0.5021  0.9151 [18 per cell]  7 Pt 2.70-2.80

# 6
Below is a geometry-optimized SrPmPt4 structure, with properties calculated at the PBE-GGA level.

Values from the calculation:
The formation energy is -0.966 eV/atom.

abc: 7.8254 7.8254 7.8254
angles: 90.00 90.00 90.00
Last column: nearest neighbours and their distance in Å.
Space group F-43m (No. 216)
Inequivalent atoms, fractional coordinates:
Sr  0.0000  0.0000  0.0000 [4 per cell]  12 Pt 3.24, 4 Pm 3.39
Pm  0.2500  0.2500  0.7500 [4 per cell]  12 Pt 3.24, 4 Sr 3.39
Pt  0.1250  0.1250  0.3750 [16 per cell]  6 Pt 2.77

# 7
Below is a geometry-optimized SrPm3Pt structure, with properties calculated at the PBE-GGA level.

Values from the calculation:
The formation energy is -0.335 eV/atom.

abc: 5.7209 5.7209 5.7209
angles: 90.00 90.00 90.00
Last column: nearest neighbours and their distance in Å.
Space group Pm-3m (No. 221)
Inequivalent atoms, fractional coordinates:
Sr  0.0000  0.0000  0.0000 [1 per cell]  12 Pm 4.05
Pm  0.0000  0.5000  0.5000 [3 per cell]  2 Pt 2.86
Pt  0.5000  0.5000  0.5000 [1 per cell]  6 Pm 2.86

# 8
Below is a geometry-optimized SrPmPt2 structure, with properties calculated at the PBE-GGA level.

Values from the calculation:
The formation energy is -0.912 eV/atom. The energy above the most stable polymorph in this dataset is 66 meV/atom.

abc: 7.2353 7.2353 7.2353
angles: 90.00 90.00 90.00
Last column: nearest neighbours and their distance in Å.
Space group Fm-3m (No. 225)
Inequivalent atoms, fractional coordinates:
Sr  0.0000  0.0000  0.0000 [4 per cell]  8 Pt 3.13
Pm  0.0000  0.0000  0.5000 [4 per cell]  8 Pt 3.13
Pt  0.2500  0.2500  0.2500 [8 per cell]  4 Sr 3.13, 4 Pm 3.13

# 9
Below is a geometry-optimized SrPm5Pt2 structure, with properties calculated at the PBE-GGA level.

Values from the calculation:
The formation energy is -0.524 eV/atom.

abc: 4.6934 8.0254 13.8666
angles: 90.00 90.00 90.00
Last column: nearest neighbours and their distance in Å.
Space group Immm (No. 71)
Inequivalent atoms, fractional coordinates:
Sr  0.0000  0.0000  0.0000 [2 per cell]  10 Pm 3.86-4.01
Pm  0.0000  0.2244  0.3470 [8 per cell]  3 Pt 2.92-3.06
Pm  0.0000  0.5000  0.0000 [2 per cell]  2 Pt 2.90
Pt  0.0000  0.5000  0.2091 [4 per cell]  7 Pm 2.90-3.06

# 10
Below is a geometry-optimized SrPmPt structure, with properties calculated at the PBE-GGA level.

Values from the calculation:
The formation energy is -0.747 eV/atom. The energy above the most stable polymorph in this dataset is 0 meV/atom.

abc: 5.8006 5.8006 6.1296
angles: 90.00 90.00 90.00
Last column: nearest neighbours and their distance in Å.
Space group P4/nmm (No. 129, origin choice 2)
Inequivalent atoms, fractional coordinates:
Sr  0.2500  0.2500  0.0206 [2 per cell]  2 Pt 3.04-3.09
Pm  0.2500  0.7500  0.5000 [2 per cell]  4 Pt 2.90
Pt  0.2500  0.2500  0.5246 [2 per cell]  4 Pm 2.90, 2 Sr 3.04-3.09

# 11
Below is a geometry-optimized SrPmPt10 structure, with properties calculated at the PBE-GGA level.

Values from the calculation:
The formation energy is -0.638 eV/atom.

abc: 4.4176 5.4679 9.4125
angles: 90.00 90.00 90.00
Last column: nearest neighbours and their distance in Å.
Space group Pmmm (No. 47)
Inequivalent atoms, fractional coordinates:
Sr  0.0000  0.0000  0.0000 [1 per cell]  18 Pt 3.17-3.53
Pm  0.0000  0.5000  0.5000 [1 per cell]  6 Pt 3.10-3.14
Pt  0.0000  0.0000  0.3365 [2 per cell]  6 Pt 2.69-2.72
Pt  0.0000  0.5000  0.1705 [2 per cell]  6 Pt 2.71-2.73
Pt  0.5000  0.0000  0.5000 [1 per cell]  8 Pt 2.69-2.70
Pt  0.5000  0.2523  0.2539 [4 per cell]  8 Pt 2.70-2.76
Pt  0.5000  0.5000  0.0000 [1 per cell]  8 Pt 2.73-2.75

# 12
Below is a geometry-optimized SrPm2Pt structure, with properties calculated at the PBE-GGA level.

Values from the calculation:
The formation energy is -0.464 eV/atom. The energy above the most stable polymorph in this dataset is 72 meV/atom.

abc: 3.6730 3.6730 9.9031
angles: 90.00 90.00 90.00
Last column: nearest neighbours and their distance in Å.
Space group P4/mmm (No. 123)
Inequivalent atoms, fractional coordinates:
Sr  0.0000  0.0000  0.0000 [1 per cell]  4 Sr 3.67
Pm  0.5000  0.5000  0.3340 [2 per cell]  4 Pt 3.07, 1 Pm 3.29
Pt  0.0000  0.0000  0.5000 [1 per cell]  8 Pm 3.07